Ba4MnBi3O12 (GGA+U, relaxed); total energy = -122.79 eV per formula unit
1.0
-4.323 4.323 4.323
4.323 -4.323 4.323
4.323 4.323 -4.323
Ba Mn Bi O
4 1 3 12
Direct
0.000 0.000 0.500
0.000 0.500 0.000
0.500 0.000 0.000
0.500 0.500 0.500
0.000 0.000 0.000
0.000 0.500 0.500
0.500 0.000 0.500
0.500 0.500 0.000
0.000 0.249 0.249
0.000 0.751 0.751
0.249 0.000 0.249
0.249 0.249 0.000
0.250 0.500 0.750
0.250 0.750 0.500
0.500 0.250 0.750
0.500 0.750 0.250
0.750 0.250 0.500
0.750 0.500 0.250
0.751 0.000 0.751
0.751 0.751 0.000